Entry from the Alexandria database: YAg2Pb after structural relaxation (PBE).

Cell and atoms, written as POSCAR:
```
YAg2Pb
1.0
1.903 1.099 8.465
-1.903 1.099 8.465
0.000 -2.198 8.465
Y Ag Pb
1 2 1
Direct
0.000 0.000 0.000
0.251 0.251 0.251
0.749 0.749 0.749
0.500 0.500 0.500
```

Summary:
As for the density: 8.002 g cm⁻³. Its space group is R-3m (166). The value obtained for the energy relative to the elements is 0.1 eV/f.u. As for the density of states at the Fermi level: 1.14 states/eV/f.u.



Entry from the Alexandria database: Y5Ag4Pb after structural relaxation (PBE).

Cell and atoms, written as POSCAR:
```
Y5Ag4Pb
1.0
3.603 0.000 0.000
0.000 3.603 0.000
0.000 0.000 19.288
Y Ag Pb
5 4 1
Direct
0.000 0.000 0.000
0.000 0.000 0.193
0.000 0.000 0.386
0.000 0.000 0.614
0.000 0.000 0.807
0.500 0.500 0.097
0.500 0.500 0.288
0.500 0.500 0.712
0.500 0.500 0.903
0.500 0.500 0.500
```

Summary:
As for the density: 7.184 g cm⁻³. Its space group is P4/mmm (123). The value obtained for the energy relative to the elements is -3.5 eV/f.u. As for the density of states at the Fermi level: 5.69 states/eV/f.u.



Entry from the Alexandria database: YAgPb after structural relaxation (PBE).

Cell and atoms, written as POSCAR:
```
YAgPb
1.0
4.859 -3.657 0.000
4.859 3.657 0.000
-2.679 0.000 4.353
Y Ag Pb
2 2 2
Direct
0.216 0.216 0.467
0.784 0.784 0.533
0.242 0.644 0.194
0.356 0.758 0.806
0.613 0.171 0.142
0.829 0.387 0.858
```

Summary:
As for the density: 8.672 g cm⁻³. Its space group is C2 (5). The value obtained for the energy relative to the elements is -0.8 eV/f.u. As for the density of states at the Fermi level: 1.75 states/eV/f.u.



Entry from the Alexandria database: YAg2Pb after structural relaxation (PBE).

Cell and atoms, written as POSCAR:
```
YAg2Pb
1.0
5.149 -1.770 0.000
5.149 1.770 0.000
-1.066 0.000 5.254
Y Ag Pb
1 2 1
Direct
0.000 0.000 0.000
0.253 0.253 0.769
0.747 0.747 0.231
0.500 0.500 0.500
```

Summary:
As for the density: 8.875 g cm⁻³. Its space group is C2/m (12). The value obtained for the energy relative to the elements is -0.6 eV/f.u. As for the density of states at the Fermi level: 1.50 states/eV/f.u.



Entry from the Alexandria database: YAgPb after structural relaxation (PBE).

Cell and atoms, written as POSCAR:
```
YAgPb
1.0
4.547 0.000 0.000
0.000 4.547 0.000
0.000 0.000 7.380
Y Ag Pb
2 2 2
Direct
0.250 0.250 0.196
0.750 0.750 0.804
0.250 0.750 0.500
0.750 0.250 0.500
0.250 0.250 0.767
0.750 0.750 0.233
```

Summary:
As for the density: 8.791 g cm⁻³. Its space group is P4/nmm (129). The value obtained for the energy relative to the elements is -1.2 eV/f.u. As for the density of states at the Fermi level: 0.75 states/eV/f.u.



Entry from the Alexandria database: YAgPb after structural relaxation (PBE).

Cell and atoms, written as POSCAR:
```
YAgPb
1.0
4.917 0.000 0.000
-2.458 4.258 0.000
0.000 0.000 3.566
Y Ag Pb
1 1 1
Direct
0.000 0.000 0.000
0.667 0.333 0.494
0.333 0.667 0.507
```

Summary:
As for the density: 8.986 g cm⁻³. Its space group is P3m1 (156). The value obtained for the energy relative to the elements is -1.0 eV/f.u. As for the density of states at the Fermi level: 2.17 states/eV/f.u.